## InSiMo2 (GGA-PBEsol)

Data for a geometry-optimized InSiMo2 structure.

For the relative energy among the computed polymorphs, the calculation gives 0 meV/atom. As for the uncorrected formation energy: -0.006 eV per atom. The value obtained for the energy is -32.29 eV/cell. The calculated volume comes out at 16.2 Å³/atom. As for the density of states at the Fermi level: 1.40 states/eV per cell. The total magnetization is 0.000 μB per formula unit.

Lattice parameters (Å, degrees): 3.199 3.199 6.318 90.00 90.00 90.00
Space group P4mm (No. 99)
Symmetry-distinct sites (fractional):
In (0.000, 0.000, 0.000) [1 per cell]
Si (0.500, 0.500, 0.706) [1 per cell]
Mo (0.000, 0.000, 0.516) [1 per cell]
Mo (0.500, 0.500, 0.282) [1 per cell]